First-principles (PBE) data for a geometry-optimized Sc3CoSe structure, as listed in the Alexandria database.

As for the total DFT energy (no corrections): -0.230 Ha/atom. As for the calculated volume: 22.2 Å³/atom. Its space-group type is Pm-3m (221). For the formation energy without anion corrections, the calculation gives -0.347 eV per atom.

Unit cell a=4.8023 b=4.8023 c=4.8023 alpha=90.00 beta=90.00 gamma=90.00
With the nearest neighbours (Å) after each atom.
Element x y z (fractional)
Sc (0.0000, 0.5000, 0.0000)  2 Co 2.40
Sc (0.0000, 0.0000, 0.5000)  2 Co 2.40
Sc (0.5000, 0.0000, 0.0000)  2 Co 2.40
Co (0.0000, 0.0000, 0.0000)  6 Sc 2.40
Se (0.5000, 0.5000, 0.5000)  12 Sc 3.40